Here is a geometry-optimized RbHgHF2 structure from Alexandria. Energies are from PBE.

Unit cell a=4.774 b=3.731 c=4.774 alpha=90.00 beta=90.00 gamma=90.00
Sites, in units of the cell vectors:
F 0.500 0.000 0.000
F 0.000 0.000 0.500
Rb 0.000 0.500 0.000
H 0.000 0.000 0.000
Hg 0.500 0.500 0.500

As for the calculated volume: 85.0 Å³/cell. As for the space group: P4/mmm. The density comes out at 6.35 g/cm³. The calculation puts the density of states at the Fermi level at 0.798 states/eV per atom. For the calculated total energy, the calculation gives -11.05 eV for the cell shown.

***

Here is a geometry-optimized Rb2HgH2F6 structure from Alexandria. Energies are from PBE.

Unit cell a=5.572 b=5.572 c=6.966 alpha=66.43 beta=66.43 gamma=60.00
Sites, in units of the cell vectors:
F 0.731 0.731 0.238
F 0.301 0.731 0.238
F 0.699 0.269 0.762
F 0.269 0.269 0.762
F 0.731 0.301 0.238
F 0.269 0.699 0.762
Rb 0.217 0.217 0.348
Rb 0.783 0.783 0.652
H 0.411 0.411 0.768
H 0.589 0.589 0.232
Hg 0.000 0.000 0.000

As for the calculated volume: 166.1 Å³/cell. As for the space group: R-3m. The density comes out at 4.87 g/cm³. The calculation puts the density of states at the Fermi level at 0.000 states/eV per atom. For the calculated total energy, the calculation gives -40.40 eV for the cell shown.